(1)
{
  "formula": "Er8Tl2Cd",
  "functional": "PBE-GGA",
  "state": "optimized geometry",
  "total_energy_ev_per_cell": -42.624,
  "vol_a3_per_atom": 29.63,
  "total_magnetization_mub_per_cell": 0.0,
  "n_ef_per_ev_cell": 13.4,
  "cell": [[5.4934, -0.3349, -0.5027], [-1.3661, 8.4544, -0.6237], [-1.3661, -3.8318, 7.5620]],
  "species": ["Er", "Er", "Er", "Er", "Er", "Er", "Er", "Er", "Tl", "Tl", "Cd"],
  "frac_coords": [[0.6966, 0.3945, 0.3945], [0.1165, 0.0998, 0.3293], [0.8835, 0.6707, 0.9002], [0.8835, 0.9002, 0.6707], [0.5000, 0.7864, 0.2136], [0.5000, 0.2136, 0.7864], [0.1165, 0.3293, 0.0998], [0.3034, 0.6055, 0.6055], [0.0000, 0.6968, 0.3032], [0.0000, 0.3032, 0.6968], [0.5000, 0.0000, 0.0000]]
}

=====

(2)
{
  "formula": "AcPN2F",
  "functional": "PBE-GGA",
  "state": "optimized geometry",
  "total_energy_ev_per_cell": -69.918,
  "vol_a3_per_atom": 17.89,
  "total_magnetization_mub_per_cell": 1.8,
  "n_ef_per_ev_cell": 2.9,
  "cell": [[-2.0135, -3.0824, -1.5749], [4.6600, -3.9066, 1.6881], [-3.1674, -1.1160, 6.2339]],
  "species": ["N", "N", "N", "N", "Ac", "Ac", "F", "F", "P", "P"],
  "frac_coords": [[0.7500, 0.4137, 0.6704], [0.7500, 0.8706, 0.6282], [0.2500, 0.5863, 0.3296], [0.2500, 0.1294, 0.3718], [0.2500, 0.1404, 0.7531], [0.7500, 0.8596, 0.2469], [0.7500, 0.1409, 0.9889], [0.2500, 0.8591, 0.0111], [0.2500, 0.3502, 0.2665], [0.7500, 0.6498, 0.7335]]
}